1.
# Ho3PaRu3

A relaxed structure of Ho3PaRu3 (PBE, the Alexandria database).

Results
Spin magnetization ... 0.00 Bohr magnetons per cell
E above lowest polymorph ... 0 meV/atom
Energy of formation from the pure elements ... -3.33 eV/f.u.
SG ... No. 160

Geometry as extended XYZ:
```
7
Lattice="4.714 2.722 1.991 -4.714 2.722 1.991 0.000 -5.444 1.991" Properties=species:S:1:pos:R:3 pbc="T T T"
Ho 0.000 -2.182 1.991
Ho -1.890 1.091 1.991
Ho 1.890 1.091 1.991
Pa 0.000 0.000 4.819
Ru -2.543 -1.468 3.099
Ru 2.543 -1.468 3.099
Ru 0.000 2.936 3.099
```



2.
# Ho5Pa2Ru5

A relaxed structure of Ho5Pa2Ru5 (PBE, the Alexandria database).

Results
Spin magnetization ... 0.00 Bohr magnetons per cell
Energy of formation from the pure elements ... -4.14 eV/f.u.
SG ... No. 12

Geometry as extended XYZ:
```
12
Lattice="4.291 -2.476 0.000 4.291 2.476 0.000 -2.840 0.000 12.355" Properties=species:S:1:pos:R:3 pbc="T T T"
Ho 0.000 0.000 0.000
Ho 0.010 0.000 7.057
Ho 0.012 0.000 10.480
Ho 5.730 0.000 1.875
Ho 5.732 0.000 5.298
Pa 2.873 0.000 3.419
Pa 2.869 0.000 8.936
Ru 0.014 0.000 4.227
Ru 2.869 0.000 0.962
Ru 2.871 0.000 6.178
Ru 2.873 0.000 11.393
Ru 5.728 0.000 8.128
```



3.
# HoPa2Ru2

A relaxed structure of HoPa2Ru2 (PBE, the Alexandria database).

Results
Spin magnetization ... 0.00 Bohr magnetons per cell
Energy of formation from the pure elements ... -1.64 eV/f.u.
SG ... No. 2

Geometry as extended XYZ:
```
10
Lattice="3.689 0.000 0.000 -1.839 7.602 0.000 -1.834 -0.635 8.059" Properties=species:S:1:pos:R:3 pbc="T T T"
Ho -0.917 3.249 2.630
Ho 0.933 3.718 5.428
Pa -0.912 0.723 5.485
Pa 0.923 0.999 0.816
Pa -0.907 5.968 7.243
Pa 0.928 6.245 2.573
Ru -0.920 5.288 0.541
Ru -0.911 5.978 4.657
Ru 0.927 0.990 3.401
Ru 0.936 1.679 7.518
```



4.
# Ho2Pa2Ru3

A relaxed structure of Ho2Pa2Ru3 (PBE, the Alexandria database).

Results
Spin magnetization ... 0.00 Bohr magnetons per cell
E above lowest polymorph ... 63 meV/atom
Energy of formation from the pure elements ... -2.78 eV/f.u.
SG ... No. 12

Geometry as extended XYZ:
```
7
Lattice="7.050 -2.640 0.000 7.050 2.640 0.000 -1.034 0.000 4.233" Properties=species:S:1:pos:R:3 pbc="T T T"
Ho 1.544 0.000 0.610
Ho 11.522 0.000 3.623
Pa 4.893 0.000 1.551
Pa 8.173 0.000 2.682
Ru 2.956 0.000 3.239
Ru 7.050 0.000 0.000
Ru 10.111 0.000 0.994
```



- Which formula does entry 1 have?
  Ho3PaRu3



- Number 1 is which compound?
  Ho3PaRu3



- Which formula does entry 2 have?
  Ho5Pa2Ru5